(1)
## ZrMoP2Os (meta-GGA SCAN)

Data for a crystal of ZrMoP2Os relaxed with PBEsol. Values from VASP.

Formation enthalpy at 0 K = 0.8830 eV per atom
Calculated volume = 19.27 Å³ per atom
SG = No. 123

Cell and atoms, written as Quantum ESPRESSO input:
```
&SYSTEM
  ibrav = 0, nat = 5, ntyp = 4
/
ATOMIC_SPECIES
Mo 95.94 Mo.upf
P 30.97 P.upf
Os 190.23 Os.upf
Zr 91.22 Zr.upf
ATOMIC_POSITIONS angstrom
Mo -2.185 -0.981 0.034
P -0.065 0.068 -2.240
P 0.917 -2.044 -0.088
Os 0.000 0.000 0.000
Zr -1.333 -2.958 -2.295
CELL_PARAMETERS angstrom
-0.130 0.136 -4.480
1.833 -4.089 -0.177
-4.370 -1.962 0.067
```

***

(2)
## MoOs2Pb (meta-GGA SCAN)

Data for a crystal of MoOs2Pb relaxed with PBEsol. Values from VASP.

Formation enthalpy at 0 K = 0.8415 eV per atom
Calculated volume = 16.09 Å³ per atom
SG = No. 119

Cell and atoms, written as Quantum ESPRESSO input:
```
&SYSTEM
  ibrav = 0, nat = 4, ntyp = 3
/
ATOMIC_SPECIES
Pb 207.20 Pb.upf
Mo 95.94 Mo.upf
Os 190.23 Os.upf
ATOMIC_POSITIONS angstrom
Pb 0.124 -2.022 -1.898
Mo 2.567 -0.929 -0.873
Os 1.033 -2.561 0.766
Os 0.000 0.000 0.000
CELL_PARAMETERS angstrom
-1.410 -3.654 -0.258
1.658 -0.389 -3.537
3.352 0.554 3.688
```

***

(3)
## MoOsPb3 (meta-GGA SCAN)

Data for a crystal of MoOsPb3 relaxed with PBEsol. Values from VASP.

Formation enthalpy at 0 K = 1.2007 eV per atom
Calculated volume = 28.09 Å³ per atom
SG = No. 221

Cell and atoms, written as Quantum ESPRESSO input:
```
&SYSTEM
  ibrav = 0, nat = 5, ntyp = 3
/
ATOMIC_SPECIES
Os 190.23 Os.upf
Pb 207.20 Pb.upf
Mo 95.94 Mo.upf
ATOMIC_POSITIONS angstrom
Os 0.000 0.000 0.000
Pb 2.257 -0.173 -1.277
Pb -1.098 -1.608 -1.722
Pb 0.676 -2.035 1.469
Mo 1.835 -3.815 -1.531
CELL_PARAMETERS angstrom
-2.196 -3.215 -3.444
4.514 -0.345 -2.555
1.351 -4.070 2.938
```

***

(4)
## Mo2OsPb (meta-GGA SCAN)

Data for a crystal of Mo2OsPb relaxed with PBEsol. Values from VASP.

Formation enthalpy at 0 K = 0.6238 eV per atom
Calculated volume = 16.93 Å³ per atom
SG = No. 166

Cell and atoms, written as Quantum ESPRESSO input:
```
&SYSTEM
  ibrav = 0, nat = 4, ntyp = 3
/
ATOMIC_SPECIES
Os 190.23 Os.upf
Pb 207.20 Pb.upf
Mo 95.94 Mo.upf
ATOMIC_POSITIONS angstrom
Os -5.097 -0.706 2.523
Pb 0.000 0.000 0.000
Mo -7.489 -1.158 3.686
Mo -2.705 -0.254 1.359
CELL_PARAMETERS angstrom
-1.874 -1.969 -1.007
-0.555 -2.393 1.540
-7.764 2.950 4.513
```

***

(5)
## MoOs2Pb (meta-GGA SCAN)

Data for a crystal of MoOs2Pb relaxed with PBEsol. Values from VASP.

Formation enthalpy at 0 K = 0.6668 eV per atom
Calculated volume = 17.23 Å³ per atom
SG = No. 6

Cell and atoms, written as Quantum ESPRESSO input:
```
&SYSTEM
  ibrav = 0, nat = 4, ntyp = 3
/
ATOMIC_SPECIES
Os 190.23 Os.upf
Mo 95.94 Mo.upf
Pb 207.20 Pb.upf
ATOMIC_POSITIONS angstrom
Os -2.471 -1.039 0.634
Os -0.155 0.070 0.043
Mo -2.400 -0.992 4.560
Pb -2.412 1.129 2.478
CELL_PARAMETERS angstrom
-2.472 1.089 -0.869
-1.608 -3.593 0.071
-0.590 0.388 6.255
```

***

(6)
## MoOsPb2 (meta-GGA SCAN)

Data for a crystal of MoOsPb2 relaxed with PBEsol. Values from VASP.

ΔE to the lowest computed polymorph = 0.6027 eV/atom
Formation enthalpy at 0 K = 1.1431 eV per atom
Calculated volume = 19.38 Å³ per atom
SG = No. 47

Cell and atoms, written as Quantum ESPRESSO input:
```
&SYSTEM
  ibrav = 0, nat = 4, ntyp = 3
/
ATOMIC_SPECIES
Pb 207.20 Pb.upf
Os 190.23 Os.upf
Mo 95.94 Mo.upf
ATOMIC_POSITIONS angstrom
Pb 0.000 0.000 0.000
Pb -1.036 1.725 2.387
Os 1.668 2.223 2.097
Mo 1.284 -0.869 2.290
CELL_PARAMETERS angstrom
-1.420 -1.368 2.580
3.989 -0.371 2.000
-0.652 4.817 2.194
```

***

(7)
## Mo2OsPb (meta-GGA SCAN)

Data for a crystal of Mo2OsPb relaxed with PBEsol. Values from VASP.

Formation enthalpy at 0 K = 0.6248 eV per atom
Calculated volume = 16.90 Å³ per atom
SG = No. 8

Cell and atoms, written as Quantum ESPRESSO input:
```
&SYSTEM
  ibrav = 0, nat = 4, ntyp = 3
/
ATOMIC_SPECIES
Os 190.23 Os.upf
Mo 95.94 Mo.upf
Pb 207.20 Pb.upf
ATOMIC_POSITIONS angstrom
Os -1.145 2.143 1.863
Mo -2.694 0.157 2.708
Mo -5.308 0.843 2.617
Pb -2.750 0.631 -0.094
CELL_PARAMETERS angstrom
-1.019 2.588 -1.164
-3.518 -3.422 -0.624
-0.926 1.659 4.501
```

***

(8)
## MoOsPb2 (meta-GGA SCAN)

Data for a crystal of MoOsPb2 relaxed with PBEsol. Values from VASP.

ΔE to the lowest computed polymorph = 0.0000 eV/atom
Formation enthalpy at 0 K = 0.5404 eV per atom
Calculated volume = 23.13 Å³ per atom
SG = No. 8

Cell and atoms, written as Quantum ESPRESSO input:
```
&SYSTEM
  ibrav = 0, nat = 4, ntyp = 3
/
ATOMIC_SPECIES
Mo 95.94 Mo.upf
Pb 207.20 Pb.upf
Os 190.23 Os.upf
ATOMIC_POSITIONS angstrom
Mo -2.304 -4.138 0.384
Pb 0.530 -5.060 0.747
Pb 0.097 -0.438 0.069
Os -1.037 -2.598 1.854
CELL_PARAMETERS angstrom
-0.256 0.428 3.078
-3.702 -1.661 -1.656
3.383 -6.368 1.166
```

***

(9)
## MoOsPb2 (meta-GGA SCAN)

Data for a crystal of MoOsPb2 relaxed with PBEsol. Values from VASP.

ΔE to the lowest computed polymorph = 0.5167 eV/atom
Formation enthalpy at 0 K = 1.0571 eV per atom
Calculated volume = 18.93 Å³ per atom
SG = No. 12

Cell and atoms, written as Quantum ESPRESSO input:
```
&SYSTEM
  ibrav = 0, nat = 4, ntyp = 3
/
ATOMIC_SPECIES
Pb 207.20 Pb.upf
Os 190.23 Os.upf
Mo 95.94 Mo.upf
ATOMIC_POSITIONS angstrom
Pb 0.000 1.914 1.347
Pb 1.560 1.369 4.124
Os 1.560 0.000 0.000
Mo 0.000 -0.580 2.729
CELL_PARAMETERS angstrom
3.121 0.000 0.000
-1.560 4.443 0.013
0.000 -1.161 5.458
```

***

(10)
## MoOs2Pb (meta-GGA SCAN)

Data for a crystal of MoOs2Pb relaxed with PBEsol. Values from VASP.

Formation enthalpy at 0 K = 0.6906 eV per atom
Calculated volume = 16.76 Å³ per atom
SG = No. 166

Cell and atoms, written as Quantum ESPRESSO input:
```
&SYSTEM
  ibrav = 0, nat = 4, ntyp = 3
/
ATOMIC_SPECIES
Pb 207.20 Pb.upf
Os 190.23 Os.upf
Mo 95.94 Mo.upf
ATOMIC_POSITIONS angstrom
Pb 2.908 1.679 4.576
Os 4.363 2.519 7.107
Os 1.454 0.840 2.045
Mo 0.000 0.000 0.000
CELL_PARAMETERS angstrom
2.908 0.000 0.000
1.454 2.519 0.000
1.454 0.840 9.152
```

***

(11)
## TlMoOs2Pb (meta-GGA SCAN)

Data for a crystal of TlMoOs2Pb relaxed with PBEsol. Values from VASP.

Formation enthalpy at 0 K = 1.6933 eV per atom
Calculated volume = 23.50 Å³ per atom
SG = No. 123

Cell and atoms, written as Quantum ESPRESSO input:
```
&SYSTEM
  ibrav = 0, nat = 5, ntyp = 4
/
ATOMIC_SPECIES
Os 190.23 Os.upf
Pb 207.20 Pb.upf
Mo 95.94 Mo.upf
Tl 204.38 Tl.upf
ATOMIC_POSITIONS angstrom
Os 0.000 2.353 0.000
Os 2.353 0.000 0.000
Pb 0.000 0.000 2.652
Mo 0.000 0.000 0.000
Tl 2.353 2.353 2.652
CELL_PARAMETERS angstrom
4.706 0.000 0.000
0.000 4.706 0.000
0.000 0.000 5.305
```

***

(12)
## Mo2OsPd (meta-GGA SCAN)

Data for a crystal of Mo2OsPd relaxed with PBEsol. Values from VASP.

Formation enthalpy at 0 K = 0.3619 eV per atom
Calculated volume = 14.94 Å³ per atom
SG = No. 225

Cell and atoms, written as Quantum ESPRESSO input:
```
&SYSTEM
  ibrav = 0, nat = 4, ntyp = 3
/
ATOMIC_SPECIES
Mo 95.94 Mo.upf
Pd 106.42 Pd.upf
Os 190.23 Os.upf
ATOMIC_POSITIONS angstrom
Mo 6.582 3.800 2.687
Mo 2.194 1.267 0.896
Pd 0.000 0.000 0.000
Os 4.388 2.533 1.791
CELL_PARAMETERS angstrom
4.388 0.000 0.000
2.194 3.800 0.000
2.194 1.267 3.583
```

***

(13)
## MoOsPt3 (meta-GGA SCAN)

Data for a crystal of MoOsPt3 relaxed with PBEsol. Values from VASP.

Formation enthalpy at 0 K = 1.9946 eV per atom
Calculated volume = 20.12 Å³ per atom
SG = No. 221

Cell and atoms, written as Quantum ESPRESSO input:
```
&SYSTEM
  ibrav = 0, nat = 5, ntyp = 3
/
ATOMIC_SPECIES
Mo 95.94 Mo.upf
Pt 195.08 Pt.upf
Os 190.23 Os.upf
ATOMIC_POSITIONS angstrom
Mo 0.000 0.000 0.000
Pt 2.326 0.000 0.000
Pt 0.000 2.326 0.000
Pt 0.000 0.000 2.326
Os 2.326 2.326 2.326
CELL_PARAMETERS angstrom
4.651 0.000 0.000
0.000 4.651 0.000
0.000 0.000 4.651
```